Entry 1:
VASP calculation (PBE) on an optimized crystal structure of SbIr2Se.

a = 4.024 Å, b = 4.024 Å, c = 5.895 Å
α = 90.00°, β = 90.00°, γ = 90.00°
Fractional coordinates of all 4 atoms:
Sb 0.000 0.000 0.000
Ir 0.000 0.500 0.708
Ir 0.500 0.000 0.708
Se 0.500 0.500 0.472

## Properties
Symmetry ... No. 99
Magnetic moment ... 0.00 μB per formula unit
Crystal system ... tetragonal
Final energy ... -6.41 eV per atom



Entry 2:
VASP calculation (PBE) on an optimized crystal structure of SbIrSe2.

a = 3.045 Å, b = 3.045 Å, c = 9.500 Å
α = 90.00°, β = 90.00°, γ = 90.00°
Fractional coordinates of all 4 atoms:
Sb 0.000 0.000 0.000
Ir 0.500 0.500 0.778
Se 0.000 0.000 0.629
Se 0.500 0.500 0.318

## Properties
Symmetry ... No. 99
Magnetic moment ... 0.00 μB per formula unit
Crystal system ... tetragonal
Final energy ... -4.71 eV per atom



Entry 3:
VASP calculation (PBE) on an optimized crystal structure of SbIr2Se.

a = 2.938 Å, b = 5.211 Å, c = 10.214 Å
α = 90.00°, β = 90.00°, γ = 90.00°
Fractional coordinates of all 8 atoms:
Sb 0.000 0.000 0.000
Sb 0.500 0.500 0.000
Ir 0.000 0.000 0.449
Ir 0.000 0.500 0.224
Ir 0.500 0.000 0.224
Ir 0.500 0.500 0.449
Se 0.000 0.500 0.648
Se 0.500 0.000 0.648

## Properties
Symmetry ... No. 35
Magnetic moment ... 0.00 μB per formula unit
Crystal system ... orthorhombic
Final energy ... -5.83 eV per atom



> Which formula does entry 1 have?

SbIr2Se



> Look up the magnetic moment of the third one.

0.00 μB per formula unit



> Which formula does entry 2 have?

SbIrSe2